The following is a PBE-GGA calculation of a geometry-optimized CuSnIrOs structure, from the Open Quantum Materials Database. Values from VASP.

Cell and atoms, written as Quantum ESPRESSO input:
```
&SYSTEM
  ibrav = 0, nat = 4, ntyp = 4
/
ATOMIC_SPECIES
Cu 63.55 Cu.upf
Sn 118.71 Sn.upf
Ir 192.22 Ir.upf
Os 190.23 Os.upf
CELL_PARAMETERS angstrom
0.0000 3.1453 3.1453
3.1453 0.0000 3.1453
3.1453 3.1453 0.0000
ATOMIC_POSITIONS angstrom
Cu 0.0000 0.0000 0.0000
Sn 4.7180 4.7180 4.7180
Ir 1.5727 1.5727 1.5727
Os 3.1453 3.1453 3.1453
```

Symmetry: F-43m
Volume in Å³ per cell: 62
Total magnetic moment in μB per formula unit: 0.00
Energy above the lowest structure with this stoichiometry in meV per atom: 0



The following is a PBE-GGA calculation of a geometry-optimized AgSnSb6 structure, from the Open Quantum Materials Database. Values from VASP.

Cell and atoms, written as Quantum ESPRESSO input:
```
&SYSTEM
  ibrav = 0, nat = 8, ntyp = 3
/
ATOMIC_SPECIES
Ag 107.87 Ag.upf
Sn 118.71 Sn.upf
Sb 121.76 Sb.upf
CELL_PARAMETERS angstrom
5.3171 3.0698 2.3702
-5.3171 3.0698 2.3702
0.0000 -6.1397 2.3702
ATOMIC_POSITIONS angstrom
Ag 0.0000 0.0000 0.0000
Sn 0.0000 0.0000 3.5554
Sb -1.1132 -2.2108 1.6220
Sb -1.3580 2.0695 1.6220
Sb 2.4712 0.1413 1.6220
Sb -2.4712 -0.1413 5.4887
Sb 1.3580 -2.0695 5.4887
Sb 1.1132 2.2108 5.4887
```

E_tot in eV/atom: -3.8378
Symmetry: R-3
Volume in Å³ per cell: 232



The following is a PBE-GGA calculation of a geometry-optimized CsFeBiS3 structure, from the Open Quantum Materials Database. Values from VASP.

Cell and atoms, written as Quantum ESPRESSO input:
```
&SYSTEM
  ibrav = 0, nat = 12, ntyp = 4
/
ATOMIC_SPECIES
Cs 132.91 Cs.upf
Fe 55.84 Fe.upf
Bi 208.98 Bi.upf
S 32.06 S.upf
CELL_PARAMETERS angstrom
2.0470 -7.6434 0.0000
2.0470 7.6434 0.0000
0.0000 0.0000 11.0541
ATOMIC_POSITIONS angstrom
Cs 2.0470 4.0435 8.2906
Cs 2.0470 -4.0435 2.7635
Fe 2.0470 7.0275 2.7635
Fe 2.0470 -7.0275 8.2906
Bi 2.0470 0.0000 0.0000
Bi 2.0470 0.0000 5.5271
S 2.0470 5.8357 0.7864
S 2.0470 5.8357 4.7406
S 2.0470 0.6665 2.7635
S 2.0470 -0.6665 8.2906
S 2.0470 -5.8357 6.3135
S 2.0470 -5.8357 10.2677
```

E_tot in eV/atom: -4.8427
Symmetry: Cmcm
Volume in Å³ per cell: 346
Total magnetic moment in μB per formula unit: 3.99



The following is a PBE-GGA calculation of a geometry-optimized ZrSb2Ir structure, from the Open Quantum Materials Database. Values from VASP.

Cell and atoms, written as Quantum ESPRESSO input:
```
&SYSTEM
  ibrav = 0, nat = 4, ntyp = 3
/
ATOMIC_SPECIES
Zr 91.22 Zr.upf
Sb 121.76 Sb.upf
Ir 192.22 Ir.upf
CELL_PARAMETERS angstrom
0.0000 3.4948 3.4948
3.4948 0.0000 3.4948
3.4948 3.4948 0.0000
ATOMIC_POSITIONS angstrom
Zr 0.0000 0.0000 0.0000
Sb 1.7474 1.7474 1.7474
Sb 3.4948 3.4948 3.4948
Ir 5.2422 5.2422 5.2422
```

E_tot in eV/atom: -6.3601
Symmetry: F-43m
Volume in Å³ per cell: 85
Total magnetic moment in μB per formula unit: 0.01



What is the volume in the first record? 62 Å³ per cell



Repeat the third record exactly.
The following is a PBE-GGA calculation of a geometry-optimized CsFeBiS3 structure, from the Open Quantum Materials Database. Values from VASP.

Cell and atoms, written as Quantum ESPRESSO input:
```
&SYSTEM
  ibrav = 0, nat = 12, ntyp = 4
/
ATOMIC_SPECIES
Cs 132.91 Cs.upf
Fe 55.84 Fe.upf
Bi 208.98 Bi.upf
S 32.06 S.upf
CELL_PARAMETERS angstrom
2.0470 -7.6434 0.0000
2.0470 7.6434 0.0000
0.0000 0.0000 11.0541
ATOMIC_POSITIONS angstrom
Cs 2.0470 4.0435 8.2906
Cs 2.0470 -4.0435 2.7635
Fe 2.0470 7.0275 2.7635
Fe 2.0470 -7.0275 8.2906
Bi 2.0470 0.0000 0.0000
Bi 2.0470 0.0000 5.5271
S 2.0470 5.8357 0.7864
S 2.0470 5.8357 4.7406
S 2.0470 0.6665 2.7635
S 2.0470 -0.6665 8.2906
S 2.0470 -5.8357 6.3135
S 2.0470 -5.8357 10.2677
```

E_tot in eV/atom: -4.8427
Symmetry: Cmcm
Volume in Å³ per cell: 346
Total magnetic moment in μB per formula unit: 3.99



What is the volume in the second record? 232 Å³ per cell